DFT (GGA-PBEsol) results for crystalline Ca2AlFe at its relaxed geometry.

Values from the calculation:
For the calculated volume, the calculation gives 23.10 Å³ per atom. The calculation puts the electronic total energy at -3.98 eV/atom. The calculation puts the formation enthalpy at 0 K at 0.349 eV/atom.

Unit cell a=7.181 b=7.249 c=3.551 alpha=90.00 beta=90.00 gamma=90.00
Space group Cmmm (No. 65)
Asymmetric unit:
Ca 0.250 0.250 0.000 x4
Al 0.000 0.000 0.500 x2
Fe 0.000 0.500 0.500 x2

=====

DFT (GGA-PBEsol) results for crystalline CaAl8Fe4 at its relaxed geometry.

Values from the calculation:
For the calculated volume, the calculation gives 14.28 Å³ per atom. The calculation puts the electronic total energy at -5.79 eV/atom. The calculation puts the formation enthalpy at 0 K at -0.349 eV/atom.

Unit cell a=8.618 b=8.618 c=5.000 alpha=90.00 beta=90.00 gamma=90.00
Space group I4/mmm (No. 139)
Asymmetric unit:
Ca 0.000 0.000 0.000 x2
Al 0.000 0.224 0.500 x8
Al 0.000 0.337 0.000 x8
Fe 0.250 0.250 0.250 x8

=====

DFT (GGA-PBEsol) results for crystalline CaAlFe2 at its relaxed geometry.

Values from the calculation:
For the calculated volume, the calculation gives 16.16 Å³ per atom. The calculation puts the electronic total energy at -5.84 eV/atom. The calculation puts the formation enthalpy at 0 K at 0.200 eV/atom.

Unit cell a=3.206 b=3.206 c=6.290 alpha=90.00 beta=90.00 gamma=90.00
Space group P4/mmm (No. 123)
Asymmetric unit:
Ca 0.000 0.000 0.000 x1
Al 0.000 0.000 0.500 x1
Fe 0.500 0.500 0.325 x2

=====

DFT (GGA-PBEsol) results for crystalline CaAl2Fe at its relaxed geometry.

Values from the calculation:
For the calculated volume, the calculation gives 17.75 Å³ per atom. The calculation puts the electronic total energy at -4.71 eV/atom. The calculation puts the formation enthalpy at 0 K at 0.108 eV/atom.

Unit cell a=2.959 b=4.909 c=9.776 alpha=90.00 beta=90.00 gamma=90.00
Space group Immm (No. 71)
Asymmetric unit:
Ca 0.000 0.000 0.000 x2
Al 0.000 0.500 0.206 x4
Fe 0.000 0.000 0.500 x2